VASP calculation (PBE) on crystalline SmErIn at its relaxed geometry.

relative energy among the computed polymorphs: 0 meV per atom

abc: 3.5688 3.5688 7.3379
angles: 104.07 104.07 90.00
Closest atoms and distances in Å follow each position.
Fractional positions:
Er 0.2966 0.2966 0.5932  4 In 3.26, 4 Er 3.57, 4 Sm 3.63
Sm 0.6068 0.6068 0.2137  4 In 3.35, 4 Sm 3.57, 4 Er 3.63
In 0.9466 0.9466 0.8932  4 Er 3.26, 4 Sm 3.35, 4 In 3.57


VASP calculation (PBE) on crystalline NiHSeBr2 at its relaxed geometry.

relative energy among the computed polymorphs: 188 meV per atom

abc: 5.2086 5.2086 3.4595
angles: 90.00 90.00 90.00
Closest atoms and distances in Å follow each position.
Fractional positions:
H 0.0000 0.0000 0.0000  2 Se 1.73
Se 0.0000 0.0000 0.5000  2 H 1.73
Ni 0.5000 0.5000 0.5000  8 Br 3.13, 2 Ni 3.46
Br 0.5000 0.0000 0.0000  2 H 2.60
Br 0.0000 0.5000 0.0000  2 H 2.60


VASP calculation (PBE) on crystalline Ba2CdHgIr at its relaxed geometry.

relative energy among the computed polymorphs: 61 meV per atom

abc: 6.0340 6.0340 5.3205
angles: 90.00 90.00 90.00
Closest atoms and distances in Å follow each position.
Fractional positions:
Ba 0.0000 0.5000 0.0000  2 Ir 3.02
Ba 0.5000 0.0000 0.0000  2 Ir 3.02
Hg 0.0000 0.0000 0.5000  2 Ir 2.66
Ir 0.0000 0.0000 0.0000  2 Hg 2.66
Cd 0.5000 0.5000 0.5000  8 Ba 4.02, 4 Hg 4.27


VASP calculation (PBE) on crystalline Ce2TlH at its relaxed geometry.

relative energy among the computed polymorphs: 135 meV per atom

abc: 3.2598 5.8700 9.3733
angles: 90.00 90.00 106.12
Closest atoms and distances in Å follow each position.
Fractional positions:
Tl 0.1291 0.2582 0.7500  1 H 2.83
Tl 0.8709 0.7418 0.2500  1 H 2.83
H 0.8783 0.7566 0.7500  4 Ce 2.37
H 0.1217 0.2434 0.2500  4 Ce 2.37
Ce 0.6088 0.2177 0.0675  2 H 2.37
Ce 0.3912 0.7823 0.5675  2 H 2.37
Ce 0.3912 0.7823 0.9325  2 H 2.37
Ce 0.6088 0.2177 0.4325  2 H 2.37


VASP calculation (PBE) on crystalline LaPaNi at its relaxed geometry.

relative energy among the computed polymorphs: 0 meV per atom

abc: 3.5338 3.5338 6.3059
angles: 106.27 106.27 90.00
Closest atoms and distances in Å follow each position.
Fractional positions:
La 0.9951 0.9951 0.9902  5 Pa 3.32-3.52, 5 Ni 3.40-3.49, 4 La 3.53
Ni 0.2962 0.2962 0.5923  4 Pa 2.70
Pa 0.7087 0.7087 0.4175  4 Ni 2.70


VASP calculation (PBE) on crystalline CaPr3Th2As6 at its relaxed geometry.

raw total energy: -76.39 eV for the cell shown

abc: 4.2905 8.5760 9.5741
angles: 103.06 102.95 90.00
Closest atoms and distances in Å follow each position.
Fractional positions:
As 0.3329 0.9118 0.6657  2 Th 2.99, 1 Ca 3.03, 3 Pr 3.05-3.06
As 0.3313 0.4203 0.6627  3 Th 3.02-3.03, 3 Pr 3.06-3.08
As 0.9977 0.7486 0.9955  1 Th 2.94, 3 Pr 3.03, 2 Ca 3.03
As 0.6687 0.5797 0.3373  3 Th 3.02-3.03, 3 Pr 3.06-3.08
As 0.6671 0.0882 0.3343  2 Th 2.99, 1 Ca 3.03, 3 Pr 3.05-3.06
As 0.0023 0.2514 0.0045  1 Th 2.94, 3 Pr 3.03, 2 Ca 3.03
Pr 0.5000 0.5000 0.0000  6 As 3.03-3.06
Pr 0.1645 0.8346 0.3289  6 As 3.03-3.08
Pr 0.8355 0.1654 0.6711  6 As 3.03-3.08
Ca 0.5000 0.0000 0.0000  6 As 3.03
Th 0.1642 0.3290 0.3285  6 As 2.94-3.03
Th 0.8358 0.6710 0.6715  6 As 2.94-3.03